Computed, not measured: RbAcPb2I8 after structural relaxation at the PBE level of DFT.

The structure belongs to space group P-1 (No. 2); the cell edges are 7.594, 7.992 and 9.999 Å and the angles 89.97°, 89.95° and 89.31°. The distinct sites, in fractional coordinates, are Rb at (0.000, 0.000, 0.000), Ac at (0.000, 0.000, 0.500), Pb at (0.500, 0.500, 0.244), I at (0.252, 0.338, 0.500), I at (0.258, 0.839, 0.728), I at (0.259, 0.839, 0.272) and I at (0.269, 0.372, 0.000).

As for the raw formation energy: -1.05 eV/atom. For the density of states at the Fermi level, the calculation gives 0.0 states/eV/f.u. For the total magnetization, the calculation gives 0.000 Bohr magnetons per cell. For the total energy, the calculation gives -37.48 eV per cell.